No. 1
Density functional theory data (GGA-PBE) for a relaxed structure of AlAsAu.

Values from the calculation:
ρ: 9.08 g cm⁻³
ΔE_f: 0.0184 eV/atom

a b c (Å): 6.022 6.022 6.022
angles (deg): 153.08 146.31 43.63
Atoms (fractional coordinates):
Al 0.000 0.000 0.000
As 0.655 0.655 0.000
Au 0.356 0.356 0.000

No. 2
Density functional theory data (GGA-PBE) for a relaxed structure of Pr3TlOs.

Values from the calculation:
ρ: 9.37 g cm⁻³
ΔE_f: -0.1810 eV/atom

a b c (Å): 9.774 9.013 6.128
angles (deg): 77.85 64.35 37.80
Atoms (fractional coordinates):
Pr 0.196 0.581 0.419
Pr 0.201 0.201 0.799
Pr 0.419 0.804 0.196
Pr 0.581 0.196 0.804
Pr 0.799 0.799 0.201
Pr 0.804 0.419 0.581
Tl 0.211 0.789 0.789
Tl 0.789 0.211 0.211
Os 0.250 0.250 0.250
Os 0.750 0.750 0.750

No. 3
Density functional theory data (GGA-PBE) for a relaxed structure of KZr4Sb.

Values from the calculation:
ρ: 5.62 g cm⁻³
energy: -6.029 eV/atom

a b c (Å): 6.036 6.036 6.036
angles (deg): 60.00 60.00 60.00
Atoms (fractional coordinates):
K 0.000 0.000 0.000
Zr 0.374 0.374 0.374
Zr 0.374 0.374 0.878
Zr 0.374 0.878 0.374
Zr 0.878 0.374 0.374
Sb 0.750 0.750 0.750

No. 4
Density functional theory data (GGA-PBE) for a relaxed structure of RbSr2Os2.

Values from the calculation:
ρ: 5.97 g cm⁻³
ΔE_f: 0.5612 eV/atom

a b c (Å): 13.493 13.493 13.493
angles (deg): 164.37 164.37 22.18
Atoms (fractional coordinates):
Rb 0.000 0.000 0.000
Sr 0.348 0.348 0.000
Sr 0.652 0.652 0.000
Os 0.250 0.750 0.500
Os 0.750 0.250 0.500

No. 5
Density functional theory data (GGA-PBE) for a relaxed structure of Sr3CaAl8.

Values from the calculation:
ρ: 3.09 g cm⁻³
ΔE_f: -0.2570 eV/atom

a b c (Å): 5.839 5.839 9.455
angles (deg): 90.00 90.00 120.00
Atoms (fractional coordinates):
Sr 0.000 0.000 0.000
Sr 0.000 0.000 0.367
Sr 0.333 0.667 0.865
Ca 0.333 0.667 0.500
Al 0.007 0.503 0.186
Al 0.329 0.164 0.679
Al 0.497 0.503 0.186
Al 0.497 0.993 0.186
Al 0.667 0.333 0.432
Al 0.667 0.333 0.930
Al 0.836 0.164 0.679
Al 0.836 0.671 0.679

No. 6
Density functional theory data (GGA-PBE) for a relaxed structure of PrYZnHg.

Values from the calculation:
ρ: 7.90 g cm⁻³
ΔE_f: -0.3844 eV/atom

a b c (Å): 5.283 5.283 5.283
angles (deg): 60.00 60.00 60.00
Atoms (fractional coordinates):
Pr 0.000 0.000 0.000
Y 0.500 0.500 0.500
Zn 0.250 0.250 0.250
Hg 0.750 0.750 0.750

No. 7
Density functional theory data (GGA-PBE) for a relaxed structure of Er12Fe6Sn.

Values from the calculation:
ρ: 9.21 g cm⁻³
ΔE_f: -0.1414 eV/atom

a b c (Å): 8.321 8.321 8.321
angles (deg): 109.47 109.47 109.47
Atoms (fractional coordinates):
Er 0.103 0.805 0.299
Er 0.195 0.299 0.494
Er 0.195 0.701 0.897
Er 0.299 0.103 0.805
Er 0.299 0.494 0.195
Er 0.494 0.195 0.299
Er 0.506 0.805 0.701
Er 0.701 0.506 0.805
Er 0.701 0.897 0.195
Er 0.805 0.299 0.103
Er 0.805 0.701 0.506
Er 0.897 0.195 0.701
Fe 0.110 0.610 0.500
Fe 0.390 0.500 0.890
Fe 0.500 0.110 0.610
Fe 0.500 0.890 0.390
Fe 0.610 0.500 0.110
Fe 0.890 0.390 0.500
Sn 0.000 0.000 0.000

No. 8
Density functional theory data (GGA-PBE) for a relaxed structure of CuReTe.

Values from the calculation:
ρ: 9.88 g cm⁻³
energy: -6.393 eV/atom

a b c (Å): 3.758 3.950 8.764
angles (deg): 77.23 89.83 89.98
Atoms (fractional coordinates):
Cu 0.250 0.053 0.392
Cu 0.750 0.947 0.608
Re 0.250 0.452 0.597
Re 0.750 0.548 0.403
Te 0.249 0.839 0.826
Te 0.751 0.161 0.174

No. 9
Density functional theory data (GGA-PBE) for a relaxed structure of Nd6HoTm2Sc.

Values from the calculation:
ρ: 7.12 g cm⁻³
ΔE_f: 0.1275 eV/atom

a b c (Å): 8.916 8.916 9.409
angles (deg): 93.40 93.40 117.44
Atoms (fractional coordinates):
Nd 0.008 0.442 0.805
Nd 0.120 0.769 0.552
Nd 0.231 0.880 0.948
Nd 0.292 0.514 0.387
Nd 0.442 0.008 0.305
Nd 0.486 0.708 0.113
Nd 0.514 0.292 0.887
Nd 0.558 0.992 0.695
Nd 0.708 0.486 0.613
Nd 0.769 0.120 0.052
Nd 0.880 0.231 0.448
Nd 0.992 0.558 0.195
Ho 0.027 0.973 0.250
Ho 0.973 0.027 0.750
Tm 0.205 0.301 0.049
Tm 0.301 0.205 0.549
Tm 0.699 0.795 0.451
Tm 0.795 0.699 0.951
Sc 0.420 0.580 0.750
Sc 0.580 0.420 0.250

No. 10
Density functional theory data (GGA-PBE) for a relaxed structure of FeSiSe2Br.

Values from the calculation:
ρ: 4.54 g cm⁻³
energy: -3.911 eV/atom

a b c (Å): 4.863 4.863 4.974
angles (deg): 90.00 90.00 90.00
Atoms (fractional coordinates):
Fe 0.000 0.000 0.000
Si 0.500 0.500 0.500
Se 0.000 0.500 0.500
Se 0.500 0.000 0.500
Br 0.500 0.500 0.000

No. 11
Density functional theory data (GGA-PBE) for a relaxed structure of K2BiClF6.

Values from the calculation:
ρ: 3.35 g cm⁻³
energy: -4.093 eV/atom

a b c (Å): 5.742 6.139 7.214
angles (deg): 110.61 105.46 101.76
Atoms (fractional coordinates):
K 0.000 0.000 0.000
K 0.499 0.865 0.427
Bi 0.220 0.448 0.689
Cl 0.746 0.452 0.143
F 0.013 0.600 0.401
F 0.215 0.146 0.407
F 0.313 0.737 0.017
F 0.460 0.279 0.865
F 0.591 0.652 0.698
F 0.934 0.167 0.712

What is the ρ in the second record?
9.37 g cm⁻³

Among the records above, which one has the lowest ρ?
Sr3CaAl8

What is the formula in the sixth record?
PrYZnHg